Arrangement 1

First-principles (PBE) data for an optimized crystal structure of Ca3Re, as listed in Alexandria via LeMat-Bulk.

M_tot, Bohr magnetons per cell: 1.11

Cell lengths 3.4396, 3.4396, 11.2196 Å; angles 90.00, 90.00, 120.00 degrees
Space group P-6m2 (No. 187)
Unique sites:
Ca 0.0000 0.0000 0.0000 x1
Ca 0.3333 0.6667 0.3004 x2
Re 0.0000 0.0000 0.5000 x1

---

Arrangement 2

First-principles (PBE) data for an optimized crystal structure of Ca3Re, as listed in Alexandria via LeMat-Bulk.

M_tot, Bohr magnetons per cell: 3.58

Cell lengths 7.5099, 7.5099, 7.5099 Å; angles 90.00, 90.00, 90.00 degrees
Space group Fm-3m (No. 225)
Unique sites:
Ca 0.0000 0.0000 0.0000 x4
Ca 0.2500 0.2500 0.2500 x8
Re 0.0000 0.0000 0.5000 x4

---

Arrangement 3

First-principles (PBE) data for an optimized crystal structure of Ca3Re, as listed in Alexandria via LeMat-Bulk.

M_tot, Bohr magnetons per cell: 1.47

Cell lengths 4.9430, 4.9430, 8.6297 Å; angles 90.00, 90.00, 90.00 degrees
Space group I4/mmm (No. 139)
Unique sites:
Ca 0.0000 0.0000 0.0000 x2
Ca 0.0000 0.5000 0.2500 x4
Re 0.0000 0.0000 0.5000 x2

---

Arrangement 4

First-principles (PBE) data for an optimized crystal structure of Ca3Re, as listed in Alexandria via LeMat-Bulk.

M_tot, Bohr magnetons per cell: 0.00

Cell lengths 6.5431, 9.9155, 3.2178 Å; angles 90.00, 90.00, 90.00 degrees
Space group Cmmm (No. 65)
Unique sites:
Ca 0.0000 0.0000 0.0000 x2
Ca 0.2500 0.2500 0.5000 x4
Re 0.0000 0.5000 0.0000 x2

---

Energetically preferred structure: arrangement 3 | next structure: +7 meV per atom

---

Arrangement 1

First-principles (PBE) data for an optimized crystal structure of Ca3Re5, as listed in Alexandria via LeMat-Bulk.

M_tot, Bohr magnetons per cell: 0.00

Cell lengths 9.0908, 9.7448, 3.1968 Å; angles 90.00, 90.00, 90.00 degrees
Space group Cmmm (No. 65)
Unique sites:
Ca 0.0000 0.0000 0.0000 x2
Ca 0.2484 0.0000 0.5000 x4
Re 0.0000 0.2763 0.5000 x4
Re 0.0000 0.5000 0.0000 x2
Re 0.2500 0.2500 0.0000 x4

---

Arrangement 2

First-principles (PBE) data for an optimized crystal structure of Ca3Re5, as listed in Alexandria via LeMat-Bulk.

M_tot, Bohr magnetons per cell: 0.00

Cell lengths 9.6876, 9.6876, 4.7091 Å; angles 90.00, 90.00, 120.00 degrees
Space group P6_3/mcm (No. 193)
Unique sites:
Ca 0.0000 0.3796 0.2500 x6
Re 0.0000 0.1468 0.7500 x6
Re 0.3333 0.6667 0.0000 x4

---

Energetically preferred structure: arrangement 1 | next structure: +188 meV per atom

---

Arrangement 1

First-principles (PBE) data for an optimized crystal structure of CaRe3, as listed in Alexandria via LeMat-Bulk.

M_tot, Bohr magnetons per cell: 0.00

Cell lengths 6.3907, 6.3907, 6.3907 Å; angles 90.00, 90.00, 90.00 degrees
Space group Fm-3m (No. 225)
Unique sites:
Ca 0.0000 0.0000 0.0000 x4
Re 0.0000 0.0000 0.5000 x4
Re 0.2500 0.2500 0.2500 x8

---

Arrangement 2

First-principles (PBE) data for an optimized crystal structure of CaRe3, as listed in Alexandria via LeMat-Bulk.

M_tot, Bohr magnetons per cell: 0.00

Cell lengths 2.8325, 2.8325, 29.1484 Å; angles 90.00, 90.00, 120.00 degrees
Space group R-3m (No. 166, hexagonal axes)
Unique sites:
Ca 0.0000 0.0000 0.0000 x3
Re 0.0000 0.0000 0.2416 x6
Re 0.0000 0.0000 0.5000 x3

---

Arrangement 3

First-principles (PBE) data for an optimized crystal structure of CaRe3, as listed in Alexandria via LeMat-Bulk.

M_tot, Bohr magnetons per cell: 0.00

Cell lengths 4.0821, 4.0821, 4.0821 Å; angles 90.00, 90.00, 90.00 degrees
Space group Pm-3m (No. 221)
Unique sites:
Ca 0.0000 0.0000 0.0000 x1
Re 0.0000 0.5000 0.5000 x3

---

Arrangement 4

First-principles (PBE) data for an optimized crystal structure of CaRe3, as listed in Alexandria via LeMat-Bulk.

M_tot, Bohr magnetons per cell: 0.00

Cell lengths 4.5989, 4.5989, 3.1272 Å; angles 90.00, 90.00, 90.00 degrees
Space group P4/mmm (No. 123)
Unique sites:
Ca 0.0000 0.0000 0.0000 x1
Re 0.0000 0.5000 0.5000 x2
Re 0.5000 0.5000 0.0000 x1

---

Energetically preferred structure: arrangement 2 | next structure: +83 meV per atom

---

Arrangement 1

First-principles (PBE) data for an optimized crystal structure of Ca5Re, as listed in Alexandria via LeMat-Bulk.

M_tot, Bohr magnetons per cell: 0.00

Cell lengths 5.5822, 3.4703, 19.6604 Å; angles 90.00, 90.00, 90.00 degrees
Space group Amm2 (No. 38)
Unique sites:
Ca 0.0000 0.0000 0.0000 x2
Ca 0.0000 0.0000 0.2670 x2
Ca 0.5000 0.0000 0.0811 x2
Ca 0.5000 0.0000 0.3964 x2
Ca 0.5000 0.0000 0.7193 x2
Re 0.0000 0.0000 0.6350 x2

---

Arrangement 2

First-principles (PBE) data for an optimized crystal structure of Ca5Re, as listed in Alexandria via LeMat-Bulk.

M_tot, Bohr magnetons per cell: 1.58

Cell lengths 3.6053, 3.6053, 15.4152 Å; angles 90.00, 90.00, 90.00 degrees
Space group P4/mmm (No. 123)
Unique sites:
Ca 0.0000 0.0000 0.0000 x1
Ca 0.0000 0.0000 0.3879 x2
Ca 0.5000 0.5000 0.1901 x2
Re 0.5000 0.5000 0.5000 x1

---

Arrangement 3

First-principles (PBE) data for an optimized crystal structure of Ca5Re, as listed in Alexandria via LeMat-Bulk.

M_tot, Bohr magnetons per cell: 3.86

Cell lengths 6.4474, 6.4474, 6.2866 Å; angles 90.00, 90.00, 120.00 degrees
Space group P6/mmm (No. 191)
Unique sites:
Ca 0.0000 0.5000 0.0000 x3
Ca 0.3333 0.6667 0.5000 x2
Re 0.0000 0.0000 0.5000 x1

---

Energetically preferred structure: arrangement 2 | next structure: +75 meV per atom

---

Arrangement 1

First-principles (PBE) data for an optimized crystal structure of Ca3ReRh, as listed in Alexandria via LeMat-Bulk.

M_tot, Bohr magnetons per cell: 3.49

Cell lengths 5.3120, 5.3120, 5.3120 Å; angles 90.00, 90.00, 90.00 degrees
Space group Pm-3m (No. 221)
Unique sites:
Ca 0.0000 0.0000 0.5000 x3
Re 0.5000 0.5000 0.5000 x1
Rh 0.0000 0.0000 0.0000 x1

---

Arrangement 2

First-principles (PBE) data for an optimized crystal structure of Ca3ReRh, as listed in Alexandria via LeMat-Bulk.

M_tot, Bohr magnetons per cell: 0.00

Cell lengths 5.3086, 5.3086, 5.3086 Å; angles 90.00, 90.00, 90.00 degrees
Space group Pm-3m (No. 221)
Unique sites:
Ca 0.0000 0.0000 0.5000 x3
Re 0.0000 0.0000 0.0000 x1
Rh 0.5000 0.5000 0.5000 x1

---

Energetically preferred structure: arrangement 1 | next structure: +329 meV per atom

---

Arrangement 1

First-principles (PBE) data for an optimized crystal structure of CaReRh, as listed in Alexandria via LeMat-Bulk.

M_tot, Bohr magnetons per cell: 12.92

Cell lengths 6.3818, 6.3818, 6.3818 Å; angles 90.00, 90.00, 90.00 degrees
Space group F-43m (No. 216)
Unique sites:
Ca 0.0000 0.0000 0.0000 x4
Re 0.2500 0.2500 0.7500 x4
Rh 0.2500 0.2500 0.2500 x4

---

Arrangement 2

First-principles (PBE) data for an optimized crystal structure of CaReRh, as listed in Alexandria via LeMat-Bulk.

M_tot, Bohr magnetons per cell: 0.00

Cell lengths 7.3437, 4.4189, 7.2302 Å; angles 90.00, 90.00, 90.00 degrees
Space group Pnma (No. 62)
Unique sites:
Ca 0.0049 0.2500 0.1730 x4
Re 0.1564 0.2500 0.5858 x4
Rh 0.1796 0.7500 0.4007 x4

---

Energetically preferred structure: arrangement 2 | next structure: +1581 meV per atom

---

Arrangement 1

First-principles (PBE) data for an optimized crystal structure of CaReRh, as listed in Alexandria via LeMat-Bulk.

M_tot, Bohr magnetons per cell: 4.12

Cell lengths 5.0856, 5.0856, 9.2085 Å; angles 90.00, 90.00, 120.00 degrees
Space group P6_3/mmc (No. 194)
Unique sites:
Ca 0.3333 0.6667 0.2500 x2
Re 0.0000 0.0000 0.2500 x2
Rh 0.0000 0.0000 0.0000 x2

---

Arrangement 2

First-principles (PBE) data for an optimized crystal structure of CaReRh, as listed in Alexandria via LeMat-Bulk.

M_tot, Bohr magnetons per cell: 0.00

Cell lengths 6.2671, 6.2671, 6.2671 Å; angles 90.00, 90.00, 90.00 degrees
Space group F-43m (No. 216)
Unique sites:
Ca 0.0000 0.0000 0.0000 x4
Re 0.0000 0.0000 0.5000 x4
Rh 0.2500 0.2500 0.2500 x4

---

Arrangement 3

First-principles (PBE) data for an optimized crystal structure of CaReRh, as listed in Alexandria via LeMat-Bulk.

M_tot, Bohr magnetons per cell: 0.00

Cell lengths 4.1423, 4.1423, 9.2875 Å; angles 90.00, 90.00, 120.00 degrees
Space group P6_3/mmc (No. 194)
Unique sites:
Ca 0.0000 0.0000 0.0000 x2
Re 0.3333 0.6667 0.2500 x2
Rh 0.3333 0.6667 0.7500 x2

---

Arrangement 4

First-principles (PBE) data for an optimized crystal structure of CaReRh, as listed in Alexandria via LeMat-Bulk.

M_tot, Bohr magnetons per cell: 0.00

Cell lengths 3.0026, 3.0026, 12.4962 Å; angles 90.00, 90.00, 90.00 degrees
Space group I4mm (No. 107)
Unique sites:
Ca 0.0000 0.0000 0.0000 x2
Re 0.0000 0.0000 0.6938 x2
Rh 0.0000 0.0000 0.3091 x2

---

Energetically preferred structure: arrangement 4 | next structure: +152 meV per atom

---

Arrangement 1

First-principles (PBE) data for an optimized crystal structure of CaReRh, as listed in Alexandria via LeMat-Bulk.

M_tot, Bohr magnetons per cell: 0.00

Cell lengths 9.0494, 4.1417, 7.7628 Å; angles 90.00, 124.70, 90.00 degrees
Space group C2/m (No. 12)
Unique sites:
Ca 0.2482 0.0000 0.1588 x4
Re 0.1668 0.5000 0.4099 x4
Rh 0.0000 0.0000 0.5000 x2
Rh 0.0000 0.5000 0.0000 x2

---

Arrangement 2

First-principles (PBE) data for an optimized crystal structure of CaReRh, as listed in Alexandria via LeMat-Bulk.

M_tot, Bohr magnetons per cell: 0.00

Cell lengths 2.9333, 2.9333, 7.1177 Å; angles 90.00, 90.00, 120.00 degrees
Space group P3m1 (No. 156)
Unique sites:
Ca 0.0000 0.0000 0.0000 x1
Re 0.6667 0.3333 0.3646 x1
Rh 0.3333 0.6667 0.6482 x1

---

Arrangement 3

First-principles (PBE) data for an optimized crystal structure of CaReRh, as listed in Alexandria via LeMat-Bulk.

M_tot, Bohr magnetons per cell: 0.00

Cell lengths 4.6960, 4.6960, 2.7877 Å; angles 90.00, 90.00, 120.00 degrees
Space group P-6m2 (No. 187)
Unique sites:
Ca 0.0000 0.0000 0.0000 x1
Re 0.6667 0.3333 0.5000 x1
Rh 0.3333 0.6667 0.5000 x1

---

Energetically preferred structure: arrangement 1 | next structure: +309 meV per atom

---

Arrangement 1

First-principles (PBE) data for an optimized crystal structure of CaReRu, as listed in Alexandria via LeMat-Bulk.

M_tot, Bohr magnetons per cell: 0.00

Cell lengths 2.8860, 3.7313, 10.9667 Å; angles 90.00, 90.00, 90.00 degrees
Space group Imm2 (No. 44)
Unique sites:
Ca 0.0000 0.0000 0.0000 x2
Re 0.0000 0.0000 0.7065 x2
Ru 0.0000 0.0000 0.2941 x2

---

Arrangement 2

First-principles (PBE) data for an optimized crystal structure of CaReRu, as listed in Alexandria via LeMat-Bulk.

M_tot, Bohr magnetons per cell: 0.00

Cell lengths 3.0537, 3.0537, 12.3287 Å; angles 90.00, 90.00, 90.00 degrees
Space group I4mm (No. 107)
Unique sites:
Ca 0.0000 0.0000 0.0000 x2
Re 0.0000 0.0000 0.6979 x2
Ru 0.0000 0.0000 0.3052 x2

---

Energetically preferred structure: arrangement 2 | next structure: +44 meV per atom

---

Arrangement 1

First-principles (PBE) data for an optimized crystal structure of CaReRu, as listed in Alexandria via LeMat-Bulk.

M_tot, Bohr magnetons per cell: 9.79

Cell lengths 6.3117, 6.3117, 6.3117 Å; angles 90.00, 90.00, 90.00 degrees
Space group F-43m (No. 216)
Unique sites:
Ca 0.0000 0.0000 0.0000 x4
Re 0.2500 0.2500 0.2500 x4
Ru 0.2500 0.2500 0.7500 x4

---

Arrangement 2

First-principles (PBE) data for an optimized crystal structure of CaReRu, as listed in Alexandria via LeMat-Bulk.

M_tot, Bohr magnetons per cell: 0.00

Cell lengths 4.4695, 4.4695, 3.1240 Å; angles 90.00, 90.00, 120.00 degrees
Space group P3m1 (No. 156)
Unique sites:
Ca 0.0000 0.0000 0.0000 x1
Re 0.6667 0.3333 0.4307 x1
Ru 0.3333 0.6667 0.5735 x1

---

Energetically preferred structure: arrangement 2 | next structure: +1532 meV per atom